Entry 1:
Material: Pa2Co9Pt
Method: DFT, PBE-GGA
State: optimized geometry

Results
Total moment: 8.1 μB/f.u.
SG: R-3m, No. 166
DOS at the Fermi energy: 18.21 states/eV/f.u.
Formation energy from the elements: -1.5 eV/f.u.

Cell: 4.859 4.859 8.480 Å, 73.35 73.35 60.00°
Positions (direct):
Pa 0.872 0.872 0.385
Pa 0.128 0.128 0.615
Co 0.666 0.666 0.003
Co 0.334 0.334 0.997
Co 0.500 0.500 0.500
Co 0.416 0.416 0.247
Co 0.920 0.416 0.247
Co 0.416 0.920 0.247
Co 0.584 0.584 0.753
Co 0.584 0.080 0.753
Co 0.080 0.584 0.753
Pt 0.000 0.000 0.000

=====

Entry 2:
Material: Ta2Hg
Method: DFT, PBE-GGA
State: optimized geometry

Results
Total moment: 0.0 μB/f.u.
SG: Cmcm, No. 63
DOS at the Fermi energy: 2.88 states/eV/f.u.
Formation energy from the elements: 1.1 eV/f.u.

Cell: 8.254 8.254 5.076 Å, 90.00 90.00 160.38°
Positions (direct):
Ta 0.886 0.114 0.250
Ta 0.548 0.452 0.250
Ta 0.452 0.548 0.750
Ta 0.114 0.886 0.750
Hg 0.216 0.784 0.250
Hg 0.784 0.216 0.750

=====

Question: Number 1 is which compound?
Answer: Pa2Co9Pt